# 1
Computed, not measured: an optimized crystal structure of MnSnPt3 at the PBE level of DFT.

```
5
Lattice="4.5976 0.0000 0.0000 0.0000 4.5976 0.0000 0.0000 0.0000 4.5976" Properties=species:S:1:pos:R:3 pbc="T T T"
Mn 0.0000 0.0000 0.0000
Sn 2.2988 2.2988 2.2988
Pt 0.0000 0.0000 2.2988
Pt 0.0000 2.2988 0.0000
Pt 2.2988 0.0000 0.0000
```

Properties
SG: Pm-3m, No. 221
Total moment (μB/f.u.): 0.01
Excess energy over the best structure of this formula in the dataset (meV/atom): 0
DFT formation energy (eV/atom): 0.682

# 2
Computed, not measured: an optimized crystal structure of Li2PtAu at the PBE level of DFT.

```
8
Lattice="3.9751 0.0000 0.0000 0.0000 3.9751 0.0000 0.0000 0.0000 7.3227" Properties=species:S:1:pos:R:3 pbc="T T T"
Li 0.0000 1.9876 1.8307
Li 0.0000 1.9876 5.4920
Li 1.9876 0.0000 1.8307
Li 1.9876 0.0000 5.4920
Pt 0.0000 0.0000 0.0000
Pt 1.9876 1.9876 3.6613
Au 0.0000 0.0000 3.6613
Au 1.9876 1.9876 0.0000
```

Properties
SG: I4/mmm, No. 139
Total moment (μB/f.u.): 0.00
DFT formation energy (eV/atom): -0.544

# 3
Computed, not measured: an optimized crystal structure of AcGdDyIn at the PBE level of DFT.

```
16
Lattice="8.0168 0.0000 0.0000 0.0000 8.0168 0.0000 0.0000 0.0000 8.0168" Properties=species:S:1:pos:R:3 pbc="T T T"
Ac 0.0000 0.0000 0.0000
Ac 0.0000 4.0084 4.0084
Ac 4.0084 0.0000 4.0084
Ac 4.0084 4.0084 0.0000
Gd 0.0000 0.0000 4.0084
Gd 0.0000 4.0084 0.0000
Gd 4.0084 0.0000 0.0000
Gd 4.0084 4.0084 4.0084
Dy 2.0042 2.0042 6.0126
Dy 2.0042 6.0126 2.0042
Dy 6.0126 2.0042 2.0042
Dy 6.0126 6.0126 6.0126
In 2.0042 2.0042 2.0042
In 2.0042 6.0126 6.0126
In 6.0126 2.0042 6.0126
In 6.0126 6.0126 2.0042
```

Properties
SG: F-43m, No. 216
Total moment (μB/f.u.): 8.38
DFT formation energy (eV/atom): -0.115

# 4
Computed, not measured: an optimized crystal structure of CaMg4As at the PBE level of DFT.

```
6
Lattice="0.0000 4.2113 4.2113 4.2113 0.0000 4.2113 4.2113 4.2113 0.0000" Properties=species:S:1:pos:R:3 pbc="T T T"
Ca 0.0000 0.0000 0.0000
Mg 5.2569 3.1657 3.1657
Mg 3.1657 5.2569 3.1657
Mg 3.1657 3.1657 5.2569
Mg 5.2569 5.2569 5.2569
As 2.1057 2.1057 2.1057
```

Properties
SG: F-43m, No. 216
Total moment (μB/f.u.): 0.00
DFT formation energy (eV/atom): 0.018

# 5
Computed, not measured: an optimized crystal structure of La2TcAu at the PBE level of DFT.

```
4
Lattice="3.8855 0.0000 0.0000 0.0000 3.8855 0.0000 0.0000 0.0000 7.1564" Properties=species:S:1:pos:R:3 pbc="T T T"
La 0.0000 0.0000 0.0000
La 1.9427 1.9427 2.9824
Tc 0.0000 0.0000 4.5659
Au 1.9427 1.9427 5.9547
```

Properties
SG: P4mm, No. 99
Total moment (μB/f.u.): 0.00
DFT formation energy (eV/atom): 0.026

# 6
Computed, not measured: an optimized crystal structure of Pu2Be2AlRh5 at the PBE level of DFT.

```
20
Lattice="9.5212 0.0000 0.0000 0.0000 9.5212 0.0000 0.0000 0.0000 3.3123" Properties=species:S:1:pos:R:3 pbc="T T T"
Pu 1.6807 3.0799 0.0000
Pu 3.0799 7.8405 0.0000
Pu 6.4413 1.6807 0.0000
Pu 7.8405 6.4413 0.0000
Be 1.1544 5.9150 0.0000
Be 3.6062 1.1544 0.0000
Be 5.9150 8.3668 0.0000
Be 8.3668 3.6062 0.0000
Al 0.0000 0.0000 0.0000
Al 4.7606 4.7606 0.0000
Rh 0.0000 4.7606 1.6561
Rh 0.6538 7.5246 1.6561
Rh 1.9965 0.6538 1.6561
Rh 2.7641 5.4144 1.6561
Rh 4.1068 2.7641 1.6561
Rh 4.7606 0.0000 1.6561
Rh 5.4144 6.7571 1.6561
Rh 6.7571 4.1068 1.6561
Rh 7.5246 8.8674 1.6561
Rh 8.8674 1.9965 1.6561
```

Properties
SG: P4/mbm, No. 127
Total moment (μB/f.u.): 9.23
DFT formation energy (eV/atom): -0.650

# 7
Computed, not measured: an optimized crystal structure of In2AgPd6 at the PBE level of DFT.

```
9
Lattice="3.8121 -2.3568 0.0000 3.8121 2.3568 0.0000 -0.8783 0.0000 8.3654" Properties=species:S:1:pos:R:3 pbc="T T T"
In 0.9868 0.0000 2.2715
In 5.7592 0.0000 6.0938
Ag 3.3730 0.0000 4.1827
Pd 0.4590 0.0000 7.9299
Pd 0.7608 0.0000 5.1053
Pd 3.6309 0.0000 1.3899
Pd 3.1151 0.0000 6.9755
Pd 5.9852 0.0000 3.2600
Pd 6.2870 0.0000 0.4355
```

Properties
SG: C2/m, No. 12
Total moment (μB/f.u.): 0.00
Excess energy over the best structure of this formula in the dataset (meV/atom): 0
DFT formation energy (eV/atom): -0.348

# 8
Computed, not measured: an optimized crystal structure of CeAl2GePt4 at the PBE level of DFT.

```
8
Lattice="2.1579 1.2458 8.8172 -2.1579 1.2458 8.8172 0.0000 -2.4917 8.8172" Properties=species:S:1:pos:R:3 pbc="T T T"
Ce 0.0000 0.0000 0.0000
Al 0.0000 0.0000 6.4465
Al 0.0000 0.0000 20.0051
Ge 0.0000 0.0000 13.2258
Pt 0.0000 0.0000 3.5359
Pt 0.0000 0.0000 10.6343
Pt 0.0000 0.0000 15.8173
Pt 0.0000 0.0000 22.9157
```

Properties
SG: R-3m, No. 166
Total moment (μB/f.u.): 0.67
DFT formation energy (eV/atom): -0.835